{
  "formula": "In4Pd5Pt2",
  "functional": "GGA-PBE",
  "state": "optimized geometry",
  "dos_ef_per_ev_atom": 0.3947,
  "spacegroup": "P2/m",
  "de_polymorph_ev_per_fu": 0.00,
  "delta_e_f_mev_per_atom": -387,
  "lattice_angstrom": [[-1.961, 2.207, -0.666], [-2.790, -0.464, 6.682], [5.424, 5.998, 3.910]],
  "species": ["In", "In", "In", "In", "Pd", "Pd", "Pd", "Pd", "Pd", "Pt", "Pt"],
  "frac_coords": [[0.500, 0.256, 0.570], [0.500, 0.804, 0.892], [0.500, 0.744, 0.430], [0.500, 0.196, 0.108], [0.000, 0.472, 0.322], [0.000, 0.831, 0.145], [0.000, 0.500, 0.000], [0.000, 0.169, 0.855], [0.000, 0.528, 0.678], [0.000, 0.917, 0.645], [0.000, 0.083, 0.355]]
}